No. 1
Material: Ho3Lu
Method: DFT, PBE
State: relaxed

The structure in POSCAR format:
```
Ho3Lu
1.0
-3.7733 -3.7958 -1.4409
1.5301 -3.7540 5.8823
-3.5683 1.2459 6.0621
Ho Lu
6 2
Cartesian
-1.3581 -1.6712 7.9588
-4.3506 -2.1098 6.2904
-0.3389 -0.4170 1.9860
-2.5662 -2.7342 3.2622
-1.7999 -4.6113 6.2004
-3.5854 -3.9883 9.2348
-2.1260 0.2053 5.0266
0.4259 -2.2973 4.9366
```

Calculated values
symmetry	Pmm2 (25)

***

No. 2
Material: HoLu2
Method: DFT, PBE
State: relaxed

The structure in POSCAR format:
```
HoLu2
1.0
0.0000 4.5440 4.5440
4.5440 0.0000 4.5440
4.5440 4.5440 0.0000
Lu Ho
4 2
Cartesian
5.6801 5.6801 5.6801
5.6801 3.4080 3.4080
3.4080 5.6801 3.4080
3.4080 3.4080 5.6801
2.2720 2.2720 2.2720
0.0000 0.0000 0.0000
```

Calculated values
energy above the lowest structure with this stoichiometry	0.00	kcal/mol of atoms
symmetry	Fd-3m (227)

***

No. 3
Material: HoLu
Method: DFT, PBE
State: relaxed

The structure in POSCAR format:
```
HoLu
1.0
-2.9321 3.8608 2.6086
-3.5104 -5.0538 3.5341
2.4657 -2.3368 6.2301
Lu Ho
4 4
Cartesian
-1.6397 0.7021 2.9271
-0.8707 -6.1596 8.1378
-3.3999 -1.8308 4.6974
-0.4030 -0.4683 6.0494
0.8873 -3.6327 6.3739
-2.1626 -2.9973 7.8145
-0.3478 -2.4604 3.2506
-2.1068 -4.9940 5.0232
```

Calculated values
energy above the lowest structure with this stoichiometry	0.01	kcal/mol of atoms
symmetry	Amm2 (38)

***

No. 4
Material: HoLu
Method: DFT, PBE
State: relaxed

The structure in POSCAR format:
```
HoLu
1.0
-1.7762 3.5973 0.1294
-2.0702 -3.2968 0.9783
2.3147 0.8622 7.8035
Lu Ho
2 2
Cartesian
-1.3935 -0.7832 2.6462
-0.1382 1.9459 6.2650
1.1573 0.4311 3.9018
0.0000 0.0000 0.0000
```

Calculated values
energy above the lowest structure with this stoichiometry	13.99	kcal/mol of atoms
symmetry	P6_3/mmc (194)

***

Number 1: E_form 0.002 eV/atom. Number 2: E_form 0.289 eV/atom. Number 3: E_form 0.001 eV/atom. Number 4: E_form 0.607 eV/atom.